Record 1
A plane-wave DFT calculation with PBE was carried out for a relaxed Tb3Dy4Ho2 crystal.

a b c (Å): 6.1218 6.1302 9.3399
angles (deg): 70.94 89.96 60.05
Sites, in units of the cell vectors:
Tb: 0.0000 0.0000 0.0000
Tb: 0.1110 0.4446 0.3336
Tb: 0.8890 0.5554 0.6664
Dy: 0.2226 0.8883 0.6666
Dy: 0.3335 0.3331 0.0001
Dy: 0.6665 0.6669 0.9999
Dy: 0.7774 0.1117 0.3334
Ho: 0.4442 0.7780 0.3336
Ho: 0.5558 0.2220 0.6664

## Properties
- Fermi-level density of states: 11.7 states/eV/cell
- DFT total energy: -41.31 eV/f.u.
- V: 31.26 Å³/atom
- Space-group type: No. 2

---

Record 2
A plane-wave DFT calculation with PBE was carried out for a relaxed Tm5Bi2Pd crystal.

a b c (Å): 8.1670 8.1670 13.4062
angles (deg): 90.00 90.00 140.85
Sites, in units of the cell vectors:
Tm: 0.0867 0.9133 0.6153
Tm: 0.0867 0.9133 0.8847
Tm: 0.2819 0.7181 0.2500
Tm: 0.3026 0.6974 0.5474
Tm: 0.3026 0.6974 0.9526
Tm: 0.6974 0.3026 0.0474
Tm: 0.6974 0.3026 0.4526
Tm: 0.7181 0.2819 0.7500
Tm: 0.9133 0.0867 0.1153
Tm: 0.9133 0.0867 0.3847
Bi: 0.1161 0.8839 0.1091
Bi: 0.1161 0.8839 0.3909
Bi: 0.8839 0.1161 0.6091
Bi: 0.8839 0.1161 0.8909
Pd: 0.2202 0.7798 0.7500
Pd: 0.7798 0.2202 0.2500

## Properties
- Fermi-level density of states: 15.5 states/eV/cell
- Offset from the most stable computed form: 410 meV/atom
- DFT total energy: -37.03 eV/f.u.
- V: 35.28 Å³/atom
- Space-group type: No. 63

---

Record 3
A plane-wave DFT calculation with PBE was carried out for a relaxed PmPr3Cd3 crystal.

a b c (Å): 7.7542 7.7542 7.3301
angles (deg): 90.00 90.00 90.63
Sites, in units of the cell vectors:
Pm: 0.2459 0.7541 0.0000
Pm: 0.7541 0.2459 0.0000
Pr: 0.2383 0.2383 0.0000
Pr: 0.2409 0.2409 0.5000
Pr: 0.2452 0.7548 0.5000
Pr: 0.7548 0.2452 0.5000
Pr: 0.7591 0.7591 0.5000
Pr: 0.7617 0.7617 0.0000
Cd: 0.0000 0.5000 0.2468
Cd: 0.0000 0.5000 0.7532
Cd: 0.5000 0.0000 0.2468
Cd: 0.5000 0.0000 0.7532
Cd: 0.5000 0.5000 0.2450
Cd: 0.5000 0.5000 0.7550

## Properties
- Fermi-level density of states: 18.6 states/eV/cell
- DFT total energy: -22.99 eV/f.u.
- V: 31.48 Å³/atom
- Space-group type: No. 65

---

Record 4
A plane-wave DFT calculation with PBE was carried out for a relaxed Sr2MnFe crystal.

a b c (Å): 3.8789 3.8789 7.4444
angles (deg): 90.00 90.00 90.00
Sites, in units of the cell vectors:
Sr: 0.0000 0.0000 0.2406
Sr: 0.0000 0.0000 0.7594
Mn: 0.5000 0.5000 0.5000
Fe: 0.5000 0.5000 0.0000

## Properties
- Fermi-level density of states: 7.2 states/eV/cell
- Offset from the most stable computed form: 388 meV/atom
- DFT total energy: -17.99 eV/f.u.
- V: 28.00 Å³/atom
- Space-group type: No. 123

---

Question: Which of these has the highest DFT total energy?
Answer: Sr2MnFe

---

Question: Among the records above, which one has the lowest DFT total energy?
Answer: Tb3Dy4Ho2